A plane-wave DFT calculation with GGA-PBE was carried out for a geometry-optimized AcSnPt structure.

Values from the calculation:
E = -5.568 eV per atom

Lattice parameters (Å, degrees): 4.992 4.992 4.992 60.00 60.00 60.00
Fractional coordinates of all 3 atoms:
Ac1 0.250 0.250 0.250
Pt1 0.000 0.000 0.000
Sn1 0.750 0.750 0.750

A plane-wave DFT calculation with GGA-PBE was carried out for a geometry-optimized TlAgS structure.

Values from the calculation:
E = -3.300 eV per atom

Lattice parameters (Å, degrees): 4.233 4.233 8.287 90.00 90.00 90.00
Fractional coordinates of all 6 atoms:
Ag1 0.000 0.000 0.000
Ag2 0.500 0.500 0.000
S1 0.000 0.500 0.205
S2 0.500 0.000 0.795
Tl1 0.500 0.000 0.339
Tl2 0.000 0.500 0.661

A plane-wave DFT calculation with GGA-PBE was carried out for a geometry-optimized Zn2Ag structure.

Values from the calculation:
ΔE_f = 0.6438 eV/atom

Lattice parameters (Å, degrees): 8.272 8.272 8.272 60.00 60.00 60.00
Fractional coordinates of all 6 atoms:
Ag1 0.250 0.250 0.250
Ag2 0.500 0.500 0.500
Zn1 0.375 0.375 0.375
Zn2 0.875 0.375 0.375
Zn3 0.375 0.875 0.375
Zn4 0.375 0.375 0.875

A plane-wave DFT calculation with GGA-PBE was carried out for a geometry-optimized Be2RePb structure.

Values from the calculation:
E = -4.788 eV per atom

Lattice parameters (Å, degrees): 4.406 4.406 4.406 60.00 60.00 60.00
Fractional coordinates of all 4 atoms:
Be1 0.000 0.000 0.000
Be2 0.750 0.750 0.750
Pb1 0.500 0.500 0.500
Re1 0.250 0.250 0.250

A plane-wave DFT calculation with GGA-PBE was carried out for a geometry-optimized FeCoNiPb structure.

Values from the calculation:
E = -5.858 eV per atom

Lattice parameters (Å, degrees): 4.301 4.301 4.301 60.00 60.00 60.00
Fractional coordinates of all 4 atoms:
Co1 0.750 0.750 0.750
Fe1 0.500 0.500 0.500
Ni1 0.250 0.250 0.250
Pb1 0.000 0.000 0.000

A plane-wave DFT calculation with GGA-PBE was carried out for a geometry-optimized GdHfSc2Sb2 structure.

Values from the calculation:
E = -6.564 eV per atom

Lattice parameters (Å, degrees): 8.603 8.603 8.603 151.60 151.60 40.60
Fractional coordinates of all 6 atoms:
Gd1 0.320 0.320 0.000
Hf1 0.673 0.673 0.000
Sb1 0.134 0.134 0.000
Sb2 0.866 0.866 0.000
Sc1 0.504 0.004 0.500
Sc2 0.004 0.504 0.500

A plane-wave DFT calculation with GGA-PBE was carried out for a geometry-optimized MgZnNiAs structure.

Values from the calculation:
E = -3.318 eV per atom

Lattice parameters (Å, degrees): 4.433 4.433 4.433 60.00 60.00 60.00
Fractional coordinates of all 4 atoms:
As1 0.250 0.250 0.250
Mg1 0.000 0.000 0.000
Ni1 0.500 0.500 0.500
Zn1 0.750 0.750 0.750

A plane-wave DFT calculation with GGA-PBE was carried out for a geometry-optimized PmHfFe structure.

Values from the calculation:
ΔE_f = 0.2779 eV/atom

Lattice parameters (Å, degrees): 4.556 4.556 4.556 60.00 60.00 60.00
Fractional coordinates of all 3 atoms:
Fe1 0.000 0.000 0.000
Hf1 0.250 0.250 0.250
Pm1 0.750 0.750 0.750

A plane-wave DFT calculation with GGA-PBE was carried out for a geometry-optimized Nd2HoAs3 structure.

Values from the calculation:
E = -6.188 eV per atom

Lattice parameters (Å, degrees): 4.212 4.212 10.311 90.00 90.00 120.00
Fractional coordinates of all 6 atoms:
As1 0.000 0.000 0.000
As2 0.333 0.667 0.343
As3 0.667 0.333 0.657
Ho1 0.000 0.000 0.500
Nd1 0.667 0.333 0.171
Nd2 0.333 0.667 0.829

A plane-wave DFT calculation with GGA-PBE was carried out for a geometry-optimized AcTcGe structure.

Values from the calculation:
E = -5.975 eV per atom

Lattice parameters (Å, degrees): 4.784 4.784 4.784 60.00 60.00 60.00
Fractional coordinates of all 3 atoms:
Ac1 0.250 0.250 0.250
Ge1 0.000 0.000 0.000
Tc1 0.750 0.750 0.750

A plane-wave DFT calculation with GGA-PBE was carried out for a geometry-optimized YErW structure.

Values from the calculation:
ΔE_f = 1.4851 eV/atom

Lattice parameters (Å, degrees): 4.917 4.917 4.917 60.00 60.00 60.00
Fractional coordinates of all 3 atoms:
Er1 0.250 0.250 0.250
W1 0.750 0.750 0.750
Y1 0.000 0.000 0.000

A plane-wave DFT calculation with GGA-PBE was carried out for a geometry-optimized Nd2Sm2CICl4 structure.

Values from the calculation:
E = -5.295 eV per atom

Lattice parameters (Å, degrees): 9.009 9.009 8.832 104.87 104.87 25.24
Fractional coordinates of all 10 atoms:
C1 0.500 0.500 0.000
Cl1 0.828 0.828 0.131
Cl2 0.168 0.168 0.310
Cl3 0.832 0.832 0.690
Cl4 0.172 0.172 0.869
I1 0.500 0.500 0.500
Nd1 0.999 0.999 0.196
Nd2 0.001 0.001 0.804
Sm1 0.645 0.645 0.080
Sm2 0.355 0.355 0.920